(1)
{"formula": "Ho2ScZnC", "functional": "PBE-GGA", "state": "relaxed", "total_energy_ev_per_atom": -5.520, "formation_enthalpy_0k_ev_per_atom": -0.32, "m_tot_mub_per_cell": 0.00, "lattice_angstrom": [[4.911, 0.000, 0.000], [0.000, 4.911, 0.000], [0.000, 0.000, 4.417]], "species": ["Ho", "Ho", "Sc", "Zn", "C"], "frac_coords": [[0.000, 0.500, 0.000], [0.500, 0.000, 0.000], [0.000, 0.000, 0.500], [0.500, 0.500, 0.500], [0.000, 0.000, 0.000]]}

=====

(2)
{"formula": "HoSc2ZnC", "functional": "PBE-GGA", "state": "relaxed", "total_energy_ev_per_atom": -5.916, "formation_enthalpy_0k_ev_per_atom": -0.37, "m_tot_mub_per_cell": 0.00, "lattice_angstrom": [[4.500, 0.000, 0.000], [0.000, 4.500, 0.000], [0.000, 0.000, 4.897]], "species": ["Ho", "Sc", "Sc", "Zn", "C"], "frac_coords": [[0.000, 0.000, 0.000], [0.000, 0.500, 0.500], [0.500, 0.000, 0.500], [0.500, 0.500, 0.000], [0.000, 0.000, 0.500]]}

=====

(3)
{"formula": "Ho5C2Se2", "functional": "PBE-GGA", "state": "relaxed", "total_energy_ev_per_atom": -6.098, "raw_formation_energy_ev_per_atom": -0.731, "m_tot_mub_per_cell": 0.00, "lattice_angstrom": [[7.021, -3.567, 0.000], [7.021, 3.567, 0.000], [0.000, 0.000, 7.160]], "species": ["Ho", "Ho", "Ho", "Ho", "Ho", "Ho", "Ho", "Ho", "Ho", "Ho", "C", "C", "C", "C", "Se", "Se", "Se", "Se"], "frac_coords": [[0.000, 0.000, 0.000], [0.039, 0.727, 0.656], [0.227, 0.539, 0.156], [0.273, 0.961, 0.656], [0.461, 0.773, 0.156], [0.500, 0.500, 0.500], [0.539, 0.227, 0.844], [0.727, 0.039, 0.344], [0.773, 0.461, 0.844], [0.961, 0.273, 0.344], [0.169, 0.831, 0.338], [0.331, 0.669, 0.838], [0.669, 0.331, 0.162], [0.831, 0.169, 0.662], [0.203, 0.203, 0.000], [0.297, 0.297, 0.500], [0.703, 0.703, 0.500], [0.797, 0.797, 0.000]]}

=====

(4)
{"formula": "Ho6C2Se3", "functional": "PBE-GGA", "state": "relaxed", "total_energy_ev_per_atom": -6.221, "raw_formation_energy_ev_per_atom": -1.097, "m_tot_mub_per_cell": 0.00, "lattice_angstrom": [[1.876, 1.083, 20.045], [-1.876, 1.083, 20.045], [0.000, -2.166, 20.045]], "species": ["Ho", "Ho", "Ho", "Ho", "Ho", "Ho", "C", "C", "Se", "Se", "Se"], "frac_coords": [[0.094, 0.094, 0.094], [0.197, 0.197, 0.197], [0.364, 0.364, 0.364], [0.636, 0.636, 0.636], [0.803, 0.803, 0.803], [0.906, 0.906, 0.906], [0.449, 0.449, 0.449], [0.551, 0.551, 0.551], [0.000, 0.000, 0.000], [0.272, 0.272, 0.272], [0.728, 0.728, 0.728]]}

=====

(5)
{"formula": "Ho2CSe", "functional": "PBE-GGA", "state": "relaxed", "total_energy_ev_per_atom": -6.641, "raw_formation_energy_ev_per_atom": -1.175, "m_tot_mub_per_cell": 0.00, "lattice_angstrom": [[1.873, 1.081, 6.551], [-1.873, 1.081, 6.551], [0.000, -2.163, 6.551]], "species": ["Ho", "Ho", "C", "Se"], "frac_coords": [[0.234, 0.234, 0.234], [0.766, 0.766, 0.766], [0.500, 0.500, 0.500], [0.000, 0.000, 0.000]]}

=====

(6)
{"formula": "Ho3CSe2", "functional": "PBE-GGA", "state": "relaxed", "total_energy_ev_per_atom": -6.344, "raw_formation_energy_ev_per_atom": -1.357, "m_tot_mub_per_cell": 0.00, "lattice_angstrom": [[-1.887, 2.769, 6.101], [1.887, -2.769, 6.101], [1.887, 2.769, -6.101]], "species": ["Ho", "Ho", "Ho", "C", "Se", "Se"], "frac_coords": [[0.000, 0.000, 0.000], [0.367, 0.367, 0.000], [0.633, 0.633, 0.000], [0.500, 0.000, 0.500], [0.176, 0.676, 0.500], [0.824, 0.324, 0.500]]}

=====

(7)
{"formula": "Ho4CSe5", "functional": "PBE-GGA", "state": "relaxed", "total_energy_ev_per_atom": -5.715, "raw_formation_energy_ev_per_atom": -1.219, "m_tot_mub_per_cell": 0.00, "lattice_angstrom": [[8.575, -1.959, 0.000], [8.575, 1.959, 0.000], [-1.556, 0.000, 7.621]], "species": ["Ho", "Ho", "Ho", "Ho", "C", "Se", "Se", "Se", "Se", "Se"], "frac_coords": [[0.005, 0.005, 0.275], [0.344, 0.344, 0.412], [0.656, 0.656, 0.588], [0.995, 0.995, 0.725], [0.500, 0.500, 0.500], [0.160, 0.160, 0.843], [0.172, 0.172, 0.332], [0.500, 0.500, 0.000], [0.828, 0.828, 0.668], [0.840, 0.840, 0.157]]}

=====

(8)
{"formula": "Ho2CSe", "functional": "PBE-GGA", "state": "relaxed", "total_energy_ev_per_atom": -6.580, "raw_formation_energy_ev_per_atom": -1.114, "m_tot_mub_per_cell": 0.00, "lattice_angstrom": [[1.857, 1.072, 6.697], [-1.857, 1.072, 6.697], [0.000, -2.145, 6.697]], "species": ["Ho", "Ho", "C", "Se"], "frac_coords": [[0.000, 0.000, 0.000], [0.201, 0.201, 0.201], [0.601, 0.601, 0.601], [0.433, 0.433, 0.433]]}